First-principles (PBE) data for a relaxed structure of Ba3Cd2Pd, as listed in Alexandria via LeMat-Bulk.

Output
energy = -2.52 eV/atom
ρ = 5.30 g/cm3

abc: 13.918 4.868 13.750
angles: 90.00 90.00 90.00
Space group Pnma (No. 62)
One atom of each set of equivalent atoms:
Ba (0.053, 0.250, 0.127) x4
Ba (0.112, 0.750, 0.552) x4
Ba (0.226, 0.250, 0.795) x4
Cd (0.023, 0.750, 0.312) x4
Cd (0.207, 0.750, 0.992) x4
Pd (0.121, 0.250, 0.370) x4

First-principles (PBE) data for a relaxed structure of BaCd8Pd2, as listed in Alexandria via LeMat-Bulk.

Output
energy = -1.83 eV/atom
ρ = 6.02 g/cm3

abc: 6.049 6.049 9.419
angles: 90.00 90.00 90.00
Space group P4/mmm (No. 123)
One atom of each set of equivalent atoms:
Ba (0.000, 0.000, 0.000) x1
Cd (0.253, 0.253, 0.311) x8
Pd (0.000, 0.500, 0.500) x2

First-principles (PBE) data for a relaxed structure of Ba2Cd7Pd, as listed in Alexandria via LeMat-Bulk.

Output
energy = -1.84 eV/atom
ρ = 6.89 g/cm3

abc: 4.702 4.702 12.743
angles: 90.00 90.00 90.00
Space group P-4m2 (No. 115)
One atom of each set of equivalent atoms:
Ba (0.000, 0.500, 0.238) x2
Cd (0.000, 0.000, 0.000) x1
Cd (0.000, 0.000, 0.500) x1
Cd (0.000, 0.500, 0.644) x2
Cd (0.000, 0.500, 0.874) x2
Cd (0.500, 0.500, 0.500) x1
Pd (0.500, 0.500, 0.000) x1

First-principles (PBE) data for a relaxed structure of Ba8Cd2Pd, as listed in Alexandria via LeMat-Bulk.

Output
energy above the lowest structure with this stoichiometry = 0.0000 eV per atom
energy = -2.25 eV/atom
ρ = 4.18 g/cm3

abc: 24.628 4.736 9.729
angles: 90.00 90.70 90.00
Space group C2/m (No. 12)
One atom of each set of equivalent atoms:
Ba (0.008, 0.000, 0.217) x4
Ba (0.103, 0.500, 0.515) x4
Ba (0.130, 0.500, 0.998) x4
Ba (0.237, 0.000, 0.698) x4
Cd (0.157, 0.000, 0.278) x4
Pd (0.000, 0.500, 0.000) x2

First-principles (PBE) data for a relaxed structure of Ba12CdPd6, as listed in Alexandria via LeMat-Bulk.

Output
energy = -3.29 eV/atom
ρ = 5.08 g/cm3

abc: 11.618 11.618 11.618
angles: 90.00 90.00 90.00
Space group Im-3 (No. 204)
One atom of each set of equivalent atoms:
Ba (0.000, 0.313, 0.182) x24
Cd (0.000, 0.000, 0.000) x2
Pd (0.000, 0.119, 0.500) x12

First-principles (PBE) data for a relaxed structure of Ba2Cd5Pd3, as listed in Alexandria via LeMat-Bulk.

Output
energy above the lowest structure with this stoichiometry = 0.0000 eV per atom
energy = -2.81 eV/atom
ρ = 7.32 g/cm3

abc: 13.108 13.816 6.737
angles: 90.00 120.72 90.00
Space group C2/c (No. 15)
One atom of each set of equivalent atoms:
Ba (0.231, 0.121, 0.230) x8
Cd (0.000, 0.278, 0.250) x4
Cd (0.000, 0.278, 0.750) x4
Cd (0.000, 0.500, 0.250) x4
Cd (0.113, 0.128, 0.613) x8
Pd (0.000, 0.000, 0.250) x4
Pd (0.145, 0.386, 0.144) x8

First-principles (PBE) data for a relaxed structure of Ba6CdPd2, as listed in Alexandria via LeMat-Bulk.

Output
energy = -2.87 eV/atom
ρ = 5.09 g/cm3

abc: 10.834 11.485 12.059
angles: 90.00 90.00 90.00
Space group Immm (No. 71)
One atom of each set of equivalent atoms:
Ba (0.000, 0.194, 0.237) x8
Ba (0.181, 0.500, 0.165) x8
Ba (0.213, 0.326, 0.500) x8
Cd (0.000, 0.000, 0.000) x2
Cd (0.000, 0.000, 0.500) x2
Pd (0.000, 0.324, 0.000) x4
Pd (0.000, 0.500, 0.380) x4

First-principles (PBE) data for a relaxed structure of Ba3Cd7Pd4, as listed in Alexandria via LeMat-Bulk.

Output
energy = -2.78 eV/atom
ρ = 7.54 g/cm3

abc: 17.300 4.754 10.563
angles: 90.00 124.51 90.00
Space group C2/m (No. 12)
One atom of each set of equivalent atoms:
Ba (0.000, 0.000, 0.000) x2
Ba (0.194, 0.500, 0.700) x4
Cd (0.000, 0.000, 0.500) x2
Cd (0.006, 0.500, 0.286) x4
Cd (0.155, 0.000, 0.421) x4
Cd (0.181, 0.500, 0.020) x4
Pd (0.113, 0.000, 0.826) x4
Pd (0.166, 0.500, 0.282) x4

First-principles (PBE) data for a relaxed structure of BaCdPd2, as listed in Alexandria via LeMat-Bulk.

Output
energy = -3.63 eV/atom
ρ = 8.32 g/cm3

abc: 3.555 3.555 7.306
angles: 90.00 90.00 90.00
Space group P4/mmm (No. 123)
One atom of each set of equivalent atoms:
Ba (0.000, 0.000, 0.000) x1
Cd (0.000, 0.000, 0.500) x1
Pd (0.500, 0.500, 0.307) x2

First-principles (PBE) data for a relaxed structure of Ba11Cd9Pd4, as listed in Alexandria via LeMat-Bulk.

Output
energy = -2.47 eV/atom
ρ = 5.87 g/cm3

abc: 15.978 23.842 4.378
angles: 90.00 90.00 90.00
Space group Cmmm (No. 65)
One atom of each set of equivalent atoms:
Ba (0.000, 0.000, 0.000) x2
Ba (0.000, 0.169, 0.000) x4
Ba (0.000, 0.374, 0.000) x4
Ba (0.192, 0.500, 0.000) x4
Ba (0.241, 0.171, 0.000) x8
Cd (0.000, 0.500, 0.500) x2
Cd (0.103, 0.272, 0.500) x8
Cd (0.153, 0.069, 0.500) x8
Pd (0.157, 0.397, 0.500) x8

First-principles (PBE) data for a relaxed structure of Ba5CdPd2, as listed in Alexandria via LeMat-Bulk.

Output
energy = -3.00 eV/atom
ρ = 5.30 g/cm3

abc: 8.793 8.793 16.396
angles: 90.00 90.00 90.00
Space group I4/mcm (No. 140)
One atom of each set of equivalent atoms:
Ba (0.000, 0.000, 0.000) x4
Ba (0.168, 0.332, 0.133) x16
Cd (0.000, 0.000, 0.250) x4
Pd (0.123, 0.377, 0.500) x8

First-principles (PBE) data for a relaxed structure of BaCd9Pd2, as listed in Alexandria via LeMat-Bulk.

Output
energy = -2.01 eV/atom
ρ = 8.24 g/cm3

abc: 11.894 11.894 7.757
angles: 90.00 90.00 90.00
Space group I4_1/amd (No. 141, origin choice 2)
One atom of each set of equivalent atoms:
Ba (0.000, 0.250, 0.375) x4
Cd (0.000, 0.250, 0.875) x4
Cd (0.122, 0.048, 0.687) x32
Pd (0.000, 0.000, 0.000) x8